Density functional theory data (GGA+U) for an optimized crystal structure of Na2PrMoF8. Values from VASP.

Calculated values
The calculation puts the calculated volume at 14.290 Å³/atom. The density of states at the Fermi level is 0.00 states/eV/f.u. The spin magnetization comes out at 3.00 μB/f.u. As for the total DFT energy (no corrections): -5.5749 eV/atom.

```
&SYSTEM
  ibrav = 0, nat = 12, ntyp = 4
/
ATOMIC_SPECIES
Na 22.99 Na.upf
Pr 140.91 Pr.upf
Mo 95.94 Mo.upf
F 19.00 F.upf
ATOMIC_POSITIONS crystal
Na 0.000 0.233 0.000
Na 0.000 0.767 0.000
Pr 0.500 0.500 0.500
Mo 0.500 0.000 0.500
F 0.011 0.500 0.260
F 0.083 0.000 0.270
F 0.439 0.231 0.727
F 0.439 0.769 0.727
F 0.561 0.231 0.273
F 0.561 0.769 0.273
F 0.917 0.000 0.730
F 0.989 0.500 0.740
CELL_PARAMETERS angstrom
4.102 0.000 0.000
0.000 7.529 0.000
-0.208 0.000 5.553
```